PmTe5, relaxed, DFT PBE; symmetry = No. 65; calculated volume = 31.51 A^3/atom; DFT total energy = -22.91 eV for the cell shown; energy relative to the elements, uncorrected = -408 meV/atom
1.0
4.7475 0.0000 0.0000
0.0000 4.2204 0.0000
0.0000 -2.1102 9.4348
Te Pm
5 1
Cartesian
2.3737 2.1102 6.5693
0.0000 2.1102 2.8115
2.3737 2.1102 0.0000
0.0000 0.0000 6.6233
2.3737 0.0000 2.8655
0.0000 0.0000 0.0000

***

SmTh2Tl3Te6, relaxed, DFT PBE; symmetry = No. 12; calculated volume = 35.83 A^3/atom; DFT total energy = -56.35 eV for the cell shown; energy relative to the elements, uncorrected = -903 meV/atom
1.0
-0.1525 5.1777 -5.6215
3.3126 -6.7929 -1.1479
-8.4646 -2.6182 -0.4494
Sm Th Tl Te
1 2 3 6
Cartesian
0.0000 0.0000 0.0000
2.1571 -2.8011 -2.6397
1.0029 1.1860 -4.1297
-1.4956 -6.1125 -2.1161
-3.8090 1.8792 -5.1027
-2.6523 -2.1166 -3.6094
-4.7552 -1.2528 -6.2296
0.4447 -1.7810 -5.1100
-0.5494 -2.9805 -0.9892
-3.5950 -5.2608 -4.7317
-5.7493 -2.4523 -2.1087
-1.7096 1.0275 -2.4871

***

Cr3BiIr, relaxed, DFT PBE; energy of formation from the pure elements = 0.935 eV per atom; symmetry = No. 221; calculated volume = 22.21 A^3/atom; DFT total energy = -36.94 eV for the cell shown; E above lowest polymorph = 0.000 eV per atom
1.0
-2.4540 -0.4505 4.1085
-3.7996 -1.6346 -2.4487
1.6266 -4.4978 0.4784
Cr Ir Bi
3 1 1
Cartesian
-1.8998 -0.8173 -1.2244
0.8133 -2.2489 0.2392
-1.2270 -0.2252 2.0542
0.0000 0.0000 0.0000
-2.3135 -3.2914 1.0691

***

Ir6Os5, relaxed, DFT PBE; energy of formation from the pure elements = 0.189 eV per atom; symmetry = No. 12; calculated volume = 14.96 A^3/atom; DFT total energy = -107.23 eV for the cell shown
1.0
-2.3869 7.3700 0.9036
-2.3003 2.7375 5.2555
3.3255 2.8781 1.3338
Ir Os
6 5
Cartesian
0.1194 7.7372 1.5535
0.8191 2.5108 0.6839
0.4799 6.9365 5.2373
-3.5144 9.3238 4.7878
-1.8416 6.0491 2.2558
2.1527 3.6618 2.7052
0.4693 5.1240 1.1187
-1.4843 3.4360 1.7142
-3.2029 6.6715 4.4449
-0.1378 4.6043 3.7537
-1.2239 8.3813 3.7393